No. 1
DFT (PBE-GGA) results for crystalline RbAsBr6 at its relaxed geometry.

formation energy from raw total energies: -0.525 eV per atom
calculated total energy: -19.86 eV per cell

a b c (Å): 6.8949 9.6286 6.6890
angles (deg): 43.97 76.86 71.59
With the nearest neighbours (Å) after each atom.
Element x y z (fractional)
Rb (0.0000, 0.0000, 0.0000)  8 Br 3.72-4.03
As (0.5000, 0.5000, 0.0000)  6 Br 2.53-2.55
Br (0.7125, 0.5352, 0.6092)  1 As 2.53
Br (0.7125, 0.1443, 0.3908)  1 As 2.53
Br (0.2875, 0.8557, 0.6092)  1 As 2.53
Br (0.2875, 0.4648, 0.3908)  1 As 2.53
Br (0.7349, 0.6583, 0.0000)  1 As 2.55
Br (0.2651, 0.3417, 0.0000)  1 As 2.55

---

No. 2
DFT (PBE-GGA) results for crystalline Na5SnBi4 at its relaxed geometry.

energy above the most stable polymorph in this dataset: 0.000 eV/atom
DFT formation energy: -0.27 eV per atom
calculated total energy: -28.84 eV per cell

a b c (Å): 3.4148 3.4148 24.5716
angles (deg): 90.00 90.00 90.00
With the nearest neighbours (Å) after each atom.
Element x y z (fractional)
Na (0.5000, 0.5000, 0.0996)  4 Na 3.41, 4 Sn 3.44, 4 Bi 3.45
Na (0.5000, 0.5000, 0.2999)  4 Na 3.41, 8 Bi 3.44-3.45
Na (0.5000, 0.5000, 0.5000)  4 Na 3.41, 8 Bi 3.45
Na (0.5000, 0.5000, 0.7001)  4 Na 3.41, 8 Bi 3.44-3.45
Na (0.5000, 0.5000, 0.9004)  4 Na 3.41, 4 Sn 3.44, 4 Bi 3.45
Sn (0.0000, 0.0000, 0.0000)  4 Sn 3.41, 8 Na 3.44
Bi (0.0000, 0.0000, 0.1997)  4 Bi 3.41, 8 Na 3.45
Bi (0.0000, 0.0000, 0.3997)  4 Bi 3.41, 8 Na 3.44-3.45
Bi (0.0000, 0.0000, 0.6003)  4 Bi 3.41, 8 Na 3.44-3.45
Bi (0.0000, 0.0000, 0.8003)  4 Bi 3.41, 8 Na 3.45

---

No. 3
DFT (PBE-GGA) results for crystalline Pm2PrSmEr5 at its relaxed geometry.

DFT formation energy: 0.25 eV per atom
calculated total energy: -79.04 eV per cell

a b c (Å): 8.7257 8.7257 9.8692
angles (deg): 116.24 116.24 90.00
With the nearest neighbours (Å) after each atom.
Element x y z (fractional)
Pm (0.1164, 0.3836, 0.0000)  1 Pm 2.87, 2 Er 3.01
Pm (0.6164, 0.1164, 0.0000)  1 Pm 2.87, 2 Er 3.01
Pm (0.3836, 0.8836, 0.0000)  1 Pm 2.87, 2 Er 3.01
Pm (0.8836, 0.6164, 0.0000)  1 Pm 2.87, 2 Er 3.01
Pr (0.2500, 0.2500, 0.5000)  10 Er 3.58-3.85
Pr (0.7500, 0.7500, 0.5000)  10 Er 3.58-3.85
Sm (0.2500, 0.7500, 0.5000)  4 Er 3.12
Sm (0.7500, 0.2500, 0.5000)  4 Er 3.12
Er (0.9274, 0.4274, 0.2725)  1 Pm 3.01, 1 Sm 3.12
Er (0.6549, 0.1549, 0.7275)  1 Pm 3.01, 1 Sm 3.12
Er (0.0726, 0.5726, 0.7275)  1 Pm 3.01, 1 Sm 3.12
Er (0.1549, 0.0726, 0.7275)  1 Pm 3.01, 1 Sm 3.12
Er (0.5726, 0.6549, 0.7275)  1 Pm 3.01, 1 Sm 3.12
Er (0.8451, 0.9274, 0.2725)  1 Pm 3.01, 1 Sm 3.12
Er (0.4274, 0.3451, 0.2725)  1 Pm 3.01, 1 Sm 3.12
Er (0.3451, 0.8451, 0.2725)  1 Pm 3.01, 1 Sm 3.12
Er (0.5000, 0.5000, 0.0000)  4 Pm 3.50, 8 Er 3.77, 2 Pr 3.85
Er (0.0000, 0.0000, 0.0000)  4 Pm 3.50, 8 Er 3.77, 2 Pr 3.85

---

No. 4
DFT (PBE-GGA) results for crystalline Cs2LiHg2F6 at its relaxed geometry.

formation energy from raw total energies: -1.981 eV per atom
calculated total energy: -37.24 eV per cell

a b c (Å): 6.2788 6.9165 7.1842
angles (deg): 117.74 90.00 116.99
With the nearest neighbours (Å) after each atom.
Element x y z (fractional)
Cs (0.7176, 0.4351, 0.1709)  5 F 3.02-3.05
Cs (0.2824, 0.5649, 0.8291)  5 F 3.02-3.05
Li (0.5000, 0.0000, 0.5000)  4 F 2.05
Hg (0.9494, 0.8988, 0.7760)  3 F 2.20-2.25
Hg (0.0506, 0.1012, 0.2240)  3 F 2.20-2.25
F (0.7410, 0.4820, 0.6103)  1 Hg 2.20
F (0.2178, 0.8899, 0.2624)  1 Li 2.05, 1 Hg 2.25
F (0.3278, 0.1101, 0.7376)  1 Li 2.05, 1 Hg 2.25
F (0.7822, 0.1101, 0.7376)  1 Li 2.05, 1 Hg 2.25
F (0.6722, 0.8899, 0.2624)  1 Li 2.05, 1 Hg 2.25
F (0.2590, 0.5180, 0.3897)  1 Hg 2.20

---

No. 5
DFT (PBE-GGA) results for crystalline LaZnPt2 at its relaxed geometry.

DFT formation energy: -0.56 eV per atom
calculated total energy: -41.07 eV per cell

a b c (Å): 4.8383 4.8383 8.9959
angles (deg): 74.40 74.40 90.00
With the nearest neighbours (Å) after each atom.
Element x y z (fractional)
Zn (0.5000, 0.5000, 0.0000)  4 Pt 2.47
Zn (0.2500, 0.7500, 0.5000)  4 Pt 2.47
Pt (0.4882, 0.1250, 0.2500)  2 Zn 2.47, 2 Pt 2.66
Pt (0.2618, 0.6250, 0.2500)  2 Zn 2.47, 2 Pt 2.66
Pt (0.3750, 0.5118, 0.7500)  2 Zn 2.47, 2 Pt 2.66
Pt (0.8750, 0.7382, 0.7500)  2 Zn 2.47, 2 Pt 2.66
La (0.0000, 0.0000, 0.0000)  4 Pt 3.05
La (0.7500, 0.2500, 0.5000)  4 Pt 3.05

---

No. 6
DFT (PBE-GGA) results for crystalline SrMgFe2Cl8 at its relaxed geometry.

formation energy from raw total energies: -1.314 eV per atom
calculated total energy: -50.74 eV per cell

a b c (Å): 6.4554 6.4554 8.5337
angles (deg): 90.00 90.00 120.00
With the nearest neighbours (Å) after each atom.
Element x y z (fractional)
Sr (0.0000, 0.0000, 0.0000)  6 Cl 3.31
Mg (0.0000, 0.0000, 0.5000)  6 Cl 2.50
Fe (0.6667, 0.3333, 0.2584)  4 Cl 2.25-2.30
Fe (0.3333, 0.6667, 0.7416)  4 Cl 2.25-2.30
Cl (0.3333, 0.6667, 0.0054)  1 Fe 2.25
Cl (0.3018, 0.2989, 0.3146)  1 Fe 2.30, 1 Mg 2.50
Cl (0.7011, 0.0029, 0.3146)  1 Fe 2.30, 1 Mg 2.50
Cl (0.6667, 0.3333, 0.9946)  1 Fe 2.25
Cl (0.2989, 0.9971, 0.6854)  1 Fe 2.30, 1 Mg 2.50
Cl (0.6982, 0.7011, 0.6854)  1 Fe 2.30, 1 Mg 2.50
Cl (0.0029, 0.3018, 0.6854)  1 Fe 2.30, 1 Mg 2.50
Cl (0.9971, 0.6982, 0.3146)  1 Fe 2.30, 1 Mg 2.50

---

> Among the records above, which one has the highest calculated total energy?

RbAsBr6

---

Please write out number 3 again, unchanged.
DFT (PBE-GGA) results for crystalline Pm2PrSmEr5 at its relaxed geometry.

DFT formation energy: 0.25 eV per atom
calculated total energy: -79.04 eV per cell

a b c (Å): 8.7257 8.7257 9.8692
angles (deg): 116.24 116.24 90.00
With the nearest neighbours (Å) after each atom.
Element x y z (fractional)
Pm (0.1164, 0.3836, 0.0000)  1 Pm 2.87, 2 Er 3.01
Pm (0.6164, 0.1164, 0.0000)  1 Pm 2.87, 2 Er 3.01
Pm (0.3836, 0.8836, 0.0000)  1 Pm 2.87, 2 Er 3.01
Pm (0.8836, 0.6164, 0.0000)  1 Pm 2.87, 2 Er 3.01
Pr (0.2500, 0.2500, 0.5000)  10 Er 3.58-3.85
Pr (0.7500, 0.7500, 0.5000)  10 Er 3.58-3.85
Sm (0.2500, 0.7500, 0.5000)  4 Er 3.12
Sm (0.7500, 0.2500, 0.5000)  4 Er 3.12
Er (0.9274, 0.4274, 0.2725)  1 Pm 3.01, 1 Sm 3.12
Er (0.6549, 0.1549, 0.7275)  1 Pm 3.01, 1 Sm 3.12
Er (0.0726, 0.5726, 0.7275)  1 Pm 3.01, 1 Sm 3.12
Er (0.1549, 0.0726, 0.7275)  1 Pm 3.01, 1 Sm 3.12
Er (0.5726, 0.6549, 0.7275)  1 Pm 3.01, 1 Sm 3.12
Er (0.8451, 0.9274, 0.2725)  1 Pm 3.01, 1 Sm 3.12
Er (0.4274, 0.3451, 0.2725)  1 Pm 3.01, 1 Sm 3.12
Er (0.3451, 0.8451, 0.2725)  1 Pm 3.01, 1 Sm 3.12
Er (0.5000, 0.5000, 0.0000)  4 Pm 3.50, 8 Er 3.77, 2 Pr 3.85
Er (0.0000, 0.0000, 0.0000)  4 Pm 3.50, 8 Er 3.77, 2 Pr 3.85